The following is a PBE calculation of crystalline Li2Zn2Pd5 at its relaxed geometry, from Alexandria.

The value obtained for the formation energy is -0.2808 eV per atom. Its density of states at the Fermi level is 0.2941 states/eV/atom. For the total energy, the calculation gives -139.467 eV/cell.

It has space group Ima2 (No. 46), with a = 14.9582 Å, b = 6.2095 Å, c = 5.6571 Å, α = 90.00°, β = 90.00° and γ = 90.00°. The inequivalent atoms are Li at (0.0532, 0.0986, 0.0000), Zn at (0.0000, 0.0000, 0.5062), Zn at (0.2500, 0.5343, 0.9609), Pd at (0.1026, 0.7485, 0.7533), Pd at (0.1583, 0.2229, 0.7227) and Pd at (0.2500, 0.5657, 0.5025).


The following is a PBE calculation of crystalline Li2ZnPd3 at its relaxed geometry, from Alexandria.

The value obtained for the formation energy is -0.3624 eV per atom. Its density of states at the Fermi level is 0.3646 states/eV/atom. For the total energy, the calculation gives -91.418 eV/cell. The calculation puts the distance to the lowest polymorph of the same formula at 154 meV/atom.

It has space group C2/c (No. 15), with a = 8.7004 Å, b = 7.4787 Å, c = 5.4792 Å, α = 90.00°, β = 94.01° and γ = 90.00°. The inequivalent atoms are Li at (0.1330, 0.2391, 0.1365), Zn at (0.0000, 0.4182, 0.7500), Pd at (0.0000, 0.0689, 0.7500) and Pd at (0.2327, 0.4427, 0.4968).